No. 1
DFT (PBE) results for crystalline LaGa2TeIr at its relaxed geometry.

Cell lengths 4.8643, 4.8643, 5.5322 Å; angles 90.00, 90.00, 90.00 degrees
Fractional coordinates of all 5 atoms:
Ir1 0.0000 0.0000 0.0000
Te1 0.5000 0.5000 0.5000
Ga1 0.0000 0.5000 0.0000
Ga2 0.5000 0.0000 0.0000
La1 0.0000 0.0000 0.5000

Calculated values
Formation energy from raw total energies ... -0.819 eV/atom
Calculated total energy ... -5.416 eV/atom
Magnetic moment ... 0.00 μB/atom

No. 2
DFT (PBE) results for crystalline Na2SiCl6 at its relaxed geometry.

Cell lengths 6.2234, 6.2234, 11.7147 Å; angles 90.00, 90.00, 90.00 degrees
Fractional coordinates of all 18 atoms:
Na1 0.0000 0.0000 0.3351
Na2 0.5000 0.5000 0.8351
Na3 0.5000 0.5000 0.1649
Na4 0.0000 0.0000 0.6649
Si1 0.0000 0.0000 0.0000
Si2 0.5000 0.5000 0.5000
Cl1 0.3226 0.3226 0.3632
Cl2 0.6774 0.6774 0.3632
Cl3 0.1774 0.8226 0.8632
Cl4 0.8226 0.1774 0.8632
Cl5 0.1774 0.8226 0.1368
Cl6 0.8226 0.1774 0.1368
Cl7 0.3226 0.3226 0.6368
Cl8 0.6774 0.6774 0.6368
Cl9 0.2556 0.2556 0.0000
Cl10 0.7444 0.7444 0.0000
Cl11 0.2444 0.7556 0.5000
Cl12 0.7556 0.2444 0.5000

Calculated values
Formation energy from raw total energies ... -1.321 eV/atom
Calculated total energy ... -3.448 eV/atom
Magnetic moment ... 0.00 μB/atom

No. 3
DFT (PBE) results for crystalline Ba3S2I at its relaxed geometry.

Cell lengths 4.9212, 8.3198, 12.6905 Å; angles 90.00, 90.00, 107.20 degrees
Fractional coordinates of all 12 atoms:
Ba1 0.6233 0.2467 0.0544
Ba2 0.0739 0.1478 0.7500
Ba3 0.6233 0.2467 0.4456
Ba4 0.9261 0.8522 0.2500
Ba5 0.3767 0.7533 0.9456
Ba6 0.3767 0.7533 0.5544
S1 0.0000 0.0000 0.0000
S2 0.0000 0.0000 0.5000
S3 0.5272 0.0544 0.2500
S4 0.4728 0.9456 0.7500
I1 0.2524 0.5048 0.2500
I2 0.7476 0.4952 0.7500

Calculated values
Formation energy from raw total energies ... -1.657 eV/atom
Calculated total energy ... -4.253 eV/atom
Magnetic moment ... 0.16 μB/atom

No. 4
DFT (PBE) results for crystalline LiZn2Cl at its relaxed geometry.

Cell lengths 3.1471, 3.1471, 7.6633 Å; angles 90.00, 90.00, 90.00 degrees
Fractional coordinates of all 4 atoms:
Cl1 0.5000 0.5000 0.2500
Li1 0.5000 0.5000 0.7500
Zn1 0.0000 0.0000 0.9991
Zn2 0.0000 0.0000 0.5009

Calculated values
Formation energy from raw total energies ... -0.201 eV/atom
E above lowest polymorph ... 1.49 eV/f.u.
Calculated total energy ... -1.778 eV/atom
Magnetic moment ... 0.00 μB/atom

No. 5
DFT (PBE) results for crystalline TmMgGaS4 at its relaxed geometry.

Cell lengths 7.5360, 7.5397, 7.5397 Å; angles 60.08, 60.02, 60.02 degrees
Fractional coordinates of all 14 atoms:
Tm1 0.0000 0.0000 0.0000
Tm2 0.0000 0.5000 0.5000
Mg1 0.5000 0.0000 0.5000
Mg2 0.0000 0.0000 0.5000
Ga1 0.6312 0.6188 0.1188
Ga2 0.3688 0.3812 0.8812
S1 0.7487 0.7612 0.7415
S2 0.2513 0.7585 0.7388
S3 0.7487 0.2415 0.2612
S4 0.2513 0.2388 0.2585
S5 0.2488 0.7530 0.2530
S6 0.7451 0.7530 0.2530
S7 0.2549 0.2470 0.7470
S8 0.7512 0.2470 0.7470

Calculated values
Formation energy from raw total energies ... -1.346 eV/atom
Calculated total energy ... -5.004 eV/atom
Magnetic moment ... 0.00 μB/atom

No. 6
DFT (PBE) results for crystalline CaTaCl at its relaxed geometry.

Cell lengths 3.5894, 3.5894, 11.6167 Å; angles 90.00, 90.00, 90.00 degrees
Fractional coordinates of all 6 atoms:
Cl1 0.0000 0.5000 0.6406
Cl2 0.5000 0.0000 0.3594
Ca1 0.5000 0.0000 0.7563
Ca2 0.0000 0.5000 0.2437
Ta1 0.0000 0.5000 0.9564
Ta2 0.5000 0.0000 0.0436

Calculated values
Formation energy from raw total energies ... -0.809 eV/atom
E above lowest polymorph ... 0.00 eV/f.u.
Calculated total energy ... -6.042 eV/atom
Magnetic moment ... 0.00 μB/atom

No. 7
DFT (PBE) results for crystalline Zn2InSi at its relaxed geometry.

Cell lengths 4.9614, 4.9614, 3.1585 Å; angles 85.66, 85.66, 107.86 degrees
Fractional coordinates of all 4 atoms:
In1 0.5000 0.0000 0.5000
Si1 0.0000 0.5000 0.5000
Zn1 0.0000 0.0000 0.0000
Zn2 0.5000 0.5000 0.0000

Calculated values
Formation energy from raw total energies ... 0.293 eV/atom
E above lowest polymorph ... 0.32 eV/f.u.
Calculated total energy ... -2.385 eV/atom
Magnetic moment ... 0.00 μB/atom

No. 8
DFT (PBE) results for crystalline Mg4ZnIr at its relaxed geometry.

Cell lengths 5.4268, 7.7560, 7.2502 Å; angles 114.81, 102.10, 107.94 degrees
Fractional coordinates of all 12 atoms:
Mg1 0.0514 0.2146 0.8453
Mg2 0.7729 0.7094 0.6410
Mg3 0.2938 0.6307 0.8453
Mg4 0.3681 0.9317 0.6410
Mg5 0.6319 0.0683 0.3590
Mg6 0.7062 0.3693 0.1547
Mg7 0.2271 0.2906 0.3590
Mg8 0.9486 0.7854 0.1547
Zn1 0.3762 0.6262 0.2524
Zn2 0.6238 0.3738 0.7476
Ir1 0.2476 0.9976 0.9951
Ir2 0.7524 0.0024 0.0049

Calculated values
E above lowest polymorph ... 0.38 eV/f.u.
Formation energy from the elements ... -0.17 eV per atom
Calculated total energy ... -2.920 eV/atom
Magnetic moment ... 0.04 μB/atom

No. 9
DFT (PBE) results for crystalline Ti3BO at its relaxed geometry.

Cell lengths 3.0972, 5.2031, 7.5440 Å; angles 90.00, 90.00, 107.31 degrees
Fractional coordinates of all 10 atoms:
Ti1 0.8592 0.7171 0.5650
Ti2 0.1408 0.2829 0.4350
Ti3 0.1408 0.2829 0.0650
Ti4 0.8592 0.7171 0.9350
Ti5 0.4232 0.8465 0.2500
Ti6 0.5768 0.1535 0.7500
B1 0.7598 0.5192 0.2500
B2 0.2402 0.4808 0.7500
O1 0.5000 0.0000 0.0000
O2 0.5000 0.0000 0.5000

Calculated values
Formation energy from raw total energies ... -1.404 eV/atom
E above lowest polymorph ... 0.00 eV/f.u.
Calculated total energy ... -8.468 eV/atom
Magnetic moment ... 0.00 μB/atom

No. 10
DFT (PBE) results for crystalline ZrIrBr2 at its relaxed geometry.

Cell lengths 8.0685, 8.0685, 8.0685 Å; angles 155.59, 149.25, 39.65 degrees
Fractional coordinates of all 4 atoms:
Ir1 0.7500 0.2500 0.5000
Br1 0.1044 0.1044 0.0000
Br2 0.3956 0.3956 0.0000
Zr1 0.2500 0.7500 0.5000

Calculated values
Formation energy from raw total energies ... -0.318 eV/atom
E above lowest polymorph ... 0.88 eV/f.u.
Calculated total energy ... -5.507 eV/atom
Magnetic moment ... 0.00 μB/atom

No. 11
DFT (PBE) results for crystalline Ho2P4Ir3 at its relaxed geometry.

Cell lengths 5.6046, 5.6046, 6.3900 Å; angles 101.97, 101.97, 121.81 degrees
Fractional coordinates of all 9 atoms:
Ho1 0.6436 0.6436 0.2871
Ho2 0.3564 0.3564 0.7129
P1 0.0032 0.6820 0.6852
P2 0.6820 0.0032 0.6852
P3 0.9968 0.3180 0.3148
P4 0.3180 0.9968 0.3148
Ir1 0.5000 0.0000 0.0000
Ir2 0.0000 0.0000 0.0000
Ir3 0.0000 0.5000 0.0000

Calculated values
Formation energy from the elements ... -0.76 eV per atom
Calculated total energy ... -7.137 eV/atom
Magnetic moment ... 0.00 μB/atom

No. 12
DFT (PBE) results for crystalline Rb2Ge2As3 at its relaxed geometry.

Cell lengths 3.9559, 9.3726, 7.8164 Å; angles 124.99, 104.66, 90.00 degrees
Fractional coordinates of all 7 atoms:
Rb1 0.5628 0.7661 0.1256
Rb2 0.4372 0.2339 0.8744
Ge1 0.8146 0.6836 0.6292
Ge2 0.1854 0.3164 0.3708
As1 0.0000 0.0000 0.0000
As2 0.8144 0.4031 0.6288
As3 0.1856 0.5969 0.3712

Calculated values
Formation energy from the elements ... -0.19 eV per atom
Calculated total energy ... -3.775 eV/atom
Magnetic moment ... 0.00 μB/atom